# CuRh2Se

An optimized crystal structure of CuRh2Se (PBE-GGA, Alexandria).

Computed properties:
As for the density of states at the Fermi level: 1.271 states/eV per atom. As for the uncorrected formation energy: 222 meV/atom. The value obtained for the size of the total moment is 0.000 μB per atom. For the total energy, the calculation gives -5.35 eV per atom.

Cell lengths 5.515, 8.673, 2.853 Å; angles 90.00, 119.64, 90.00 degrees
Space group C2/m (No. 12)
Inequivalent atoms, fractional coordinates:
Cu 0.000 0.000 0.000 [2 per cell]
Rh 0.250 0.250 0.500 [4 per cell]
Se 0.000 0.500 0.000 [2 per cell]